8
Lattice="5.3658 0.0000 0.0000 0.0000 5.3658 0.0000 0.0000 0.0000 7.6817" Properties=species:S:1:pos:R:3 comment="PBE KNa4Cd3, optimized geometry" e_tot_ev_per_atom=-1.14 rho_g_cm3=3.5 pbc="T T T"
K 0.0000 0.0000 0.0000
Na 0.0000 0.0000 3.8409
Na 0.0000 2.6829 2.1611
Na 2.6829 0.0000 5.5206
Na 2.6829 2.6829 0.0000
Cd 0.0000 2.6829 5.4834
Cd 2.6829 0.0000 2.1983
Cd 2.6829 2.6829 3.8409